(1)
CsNb2 PBE relaxed; E above lowest polymorph = 0.0000 eV/atom
1.0
0.0000 4.2399 4.2399
4.2399 0.0000 4.2399
4.2399 4.2399 0.0000
Cs Nb
2 4
Cartesian
0.0000 0.0000 0.0000 Cs
2.1200 2.1200 2.1200 Cs
3.1800 3.1800 5.2999 Nb
3.1800 5.2999 3.1800 Nb
5.2999 3.1800 3.1800 Nb
5.2999 5.2999 5.2999 Nb

(2)
Gd4Al23Ni6 PBE relaxed; electronic total energy = -0.173 hartree per atom
1.0
2.6303 -2.0568 -2.3503
-3.0766 -5.6611 5.0579
-13.4708 -1.4618 -10.2493
Al Gd Ni
23 4 6
Cartesian
-0.1911 -4.7175 0.3676 Al
-0.8352 -6.9796 1.6263 Al
0.2505 -2.4648 -1.1096 Al
-2.4950 -3.2391 0.0424 Al
-3.6409 -6.7097 1.7970 Al
-1.8394 -3.4628 -2.5751 Al
-3.5877 -1.3619 -2.8233 Al
-4.6531 -3.9650 -1.7376 Al
-5.4829 -6.6516 -0.3152 Al
-7.3826 -4.3280 -0.9277 Al
-7.3826 -7.0897 -2.0578 Al
-6.9585 -4.5898 -3.7709 Al
-6.5345 -2.0900 -5.4840 Al
-6.5345 -4.8517 -6.6141 Al
-8.4342 -2.5281 -7.2266 Al
-9.2640 -5.2146 -5.8042 Al
-10.3293 -7.8177 -4.7185 Al
-12.0777 -5.7169 -4.9667 Al
-10.2762 -2.4700 -9.3388 Al
-11.4220 -5.9405 -7.5841 Al
-14.1676 -6.7149 -6.4321 Al
-13.0819 -2.2000 -9.1681 Al
-13.7260 -4.4621 -7.9093 Al
-2.5546 -6.1713 -1.0053 Gd
-4.0898 -3.8026 -4.7963 Gd
-9.8272 -5.3770 -2.7455 Gd
-11.3625 -3.0083 -6.5365 Gd
-2.0388 -4.7783 1.8998 Ni
-1.8801 -1.1481 -1.0994 Ni
-7.8272 -6.2809 0.2837 Ni
-6.0898 -2.8988 -7.8255 Ni
-12.0370 -8.0316 -6.4424 Ni
-11.8782 -4.4014 -9.4415 Ni

(3)
Na2IrO3 PBE relaxed; E above lowest polymorph = 0.0023 eV/atom
1.0
-4.2634 3.3814 0.3688
-4.4422 -2.3697 -2.2638
-2.3353 -3.7487 8.3591
Ir Na O
4 8 12
Cartesian
-0.3899 -0.6259 1.3958 Ir
-2.9092 0.4419 2.9686 Ir
-3.6895 -0.8091 5.7593 Ir
-1.9454 -3.1227 6.9633 Ir
-2.1317 1.6907 0.1844 Na
-2.2211 -1.1848 -1.1319 Na
-4.7208 -0.0891 0.3771 Na
-3.0209 -2.4640 1.7229 Na
-1.1677 -1.8743 4.1795 Na
-5.5204 -1.3684 3.2320 Na
-8.0200 -0.2729 4.7412 Na
-6.3201 -2.6478 6.0870 Na
-4.3920 -1.1708 -1.7104 O
-7.1503 -0.0119 0.0159 O
-2.4077 -0.3466 1.1466 O
-5.3341 -2.2068 0.9530 O
-4.8547 0.8404 2.4529 O
-3.3493 -1.3828 3.8109 O
-7.6916 -1.3541 2.6531 O
-6.1862 -3.5773 4.0111 O
-5.7068 -0.5301 5.5111 O
-8.6332 -2.3903 5.3174 O
-3.8906 -2.7250 6.4482 O
-6.6489 -1.5660 8.1745 O

(4)
Tb6Br7 PBE relaxed; electronic total energy = -0.158 hartree per atom
1.0
-7.2260 -3.5142 -6.9964
-8.7544 -4.7541 -3.7782
-0.0433 10.9307 4.1906
Br Tb
7 6
Cartesian
-9.6515 -4.3792 -6.2707 Br
-13.3689 -5.1983 -8.3517 Br
-0.8138 2.5368 0.5909 Br
-8.0118 1.3312 -3.2920 Br
-15.2098 0.1257 -7.1748 Br
-2.6547 7.8608 1.7677 Br
-6.3721 7.0417 -0.3133 Br
-3.6205 -0.2188 -1.8037 Tb
-10.8994 -1.6930 -5.8284 Tb
-13.9487 -2.3707 -7.5377 Tb
-2.0749 5.0332 0.9537 Tb
-5.1243 4.3555 -0.7556 Tb
-12.4032 2.8813 -4.7803 Tb

(5)
KZr2As3O12 PBE relaxed; electronic total energy = -0.262 hartree per atom
1.0
9.1120 -0.0005 0.0000
4.5565 -7.8916 -0.0001
-4.5559 -2.6303 -8.1903
As K O Zr
6 2 24 4
Cartesian
3.2579 -4.8782 -2.0476 As
7.8151 -8.2748 -2.0478 As
7.1518 -2.6304 -2.0478 As
1.9610 -7.8922 -6.1427 As
1.2978 -2.2475 -6.1427 As
5.8546 -5.6441 -6.1429 As
0.0000 0.0000 0.0000 K
0.0003 -5.2609 -4.0952 K
3.3879 -1.3643 -0.6677 O
4.0432 -4.2757 -0.6679 O
6.2374 -2.2521 -0.6680 O
8.5084 -6.7483 -1.8084 O
8.1266 -3.9947 -1.8084 O
1.5894 -5.0408 -1.8086 O
8.1272 -1.2667 -2.2866 O
3.9522 -6.4047 -2.2869 O
6.1462 -8.1120 -2.2869 O
3.3878 -3.8974 -3.4272 O
6.2374 -3.0089 -3.4273 O
8.5999 -8.8774 -3.4275 O
0.5127 -1.6450 -4.7629 O
2.8753 -7.5134 -4.7631 O
5.7249 -6.6251 -4.7631 O
2.9664 -2.4103 -5.9035 O
5.1606 -4.1178 -5.9035 O
0.9858 -9.2558 -5.9038 O
7.5235 -5.4816 -6.3818 O
0.9860 -6.5277 -6.3820 O
0.6042 -3.7742 -6.3820 O
2.8753 -8.2702 -7.5224 O
5.0696 -6.2467 -7.5225 O
5.7247 -9.1582 -7.5226 O
9.1119 -5.2613 -0.4761 Zr
4.5567 -7.8912 -3.6192 Zr
4.5560 -2.6312 -4.5712 Zr
0.0009 -5.2611 -7.7143 Zr

(6)
RbHoAgTe3 PBE relaxed; electronic total energy = -0.142 hartree per atom
1.0
-1.7871 8.4148 1.5284
0.1771 -8.3896 2.4334
10.4329 1.4473 4.2307
Ag Ho Rb Te
2 2 2 6
Cartesian
0.8921 8.1687 2.6188 Ag
7.9307 -6.6962 5.5737 Ag
-0.8050 0.0126 1.9809 Ho
4.4114 0.7362 4.0962 Ho
2.2856 -3.7531 3.2609 Rb
6.5372 5.2256 4.9316 Rb
-1.0601 6.3508 1.8370 Te
1.6591 1.6075 2.9721 Te
3.2003 6.9418 3.5646 Te
5.6226 -5.4693 4.6279 Te
7.1638 -0.1351 5.2203 Te
9.8829 -4.8783 6.3555 Te